VASP calculation (PBE-GGA) on a geometry-optimized Ac2TlSnAu6 structure.

## Properties
As for the crystal system: triclinic. The total DFT energy (no corrections) is -3.8718 eV/atom.

Cell lengths 5.4672, 7.1367, 7.1907 Å; angles 85.11, 72.80, 73.54 degrees
Last column: nearest neighbours and their distance in Å.
Sites, in units of the cell vectors:
Ac: 0.0144 0.2623 0.2704  7 Au 3.24-3.43, 1 Sn 3.54, 1 Tl 3.56
Ac: 0.9856 0.7377 0.7296  7 Au 3.24-3.43, 1 Sn 3.54, 1 Tl 3.56
Tl: 0.5000 0.5000 0.0000  6 Au 2.85-3.02
Sn: 0.5000 0.0000 0.5000  6 Au 2.78-2.96
Au: 0.0050 0.7461 0.2590  4 Au 2.88-3.01, 1 Tl 2.96, 1 Sn 2.96
Au: 0.3270 0.9314 0.9178  1 Sn 2.91, 3 Au 2.92-3.01, 1 Tl 3.02, 1 Ac 3.24
Au: 0.4974 0.3480 0.6470  1 Sn 2.78, 1 Tl 2.85, 3 Au 2.88-2.90
Au: 0.5026 0.6520 0.3530  1 Sn 2.78, 1 Tl 2.85, 3 Au 2.88-2.90
Au: 0.6730 0.0686 0.0822  1 Sn 2.91, 3 Au 2.92-3.01, 1 Tl 3.02, 1 Ac 3.24
Au: 0.9950 0.2539 0.7410  4 Au 2.88-3.01, 1 Tl 2.96, 1 Sn 2.96

VASP calculation (PBE-GGA) on a geometry-optimized AcTmSnAu structure.

## Properties
As for the crystal system: cubic. The total DFT energy (no corrections) is -4.5893 eV/atom.

Cell lengths 5.4430, 5.4430, 5.4430 Å; angles 60.00, 60.00, 60.00 degrees
Last column: nearest neighbours and their distance in Å.
Sites, in units of the cell vectors:
Ac: 0.0000 0.0000 0.0000  4 Sn 3.33, 4 Au 3.33
Tm: 0.5000 0.5000 0.5000  4 Sn 3.33, 4 Au 3.33
Sn: 0.7500 0.7500 0.7500  4 Ac 3.33, 4 Tm 3.33
Au: 0.2500 0.2500 0.2500  4 Ac 3.33, 4 Tm 3.33

VASP calculation (PBE-GGA) on a geometry-optimized Ac2TmSnAu6 structure.

## Properties
As for the crystal system: cubic. The total DFT energy (no corrections) is -3.9006 eV/atom.

Cell lengths 7.4963, 7.4963, 7.4963 Å; angles 60.00, 60.00, 60.00 degrees
Last column: nearest neighbours and their distance in Å.
Sites, in units of the cell vectors:
Ac: 0.2500 0.2500 0.2500  12 Au 3.75
Ac: 0.7500 0.7500 0.7500  12 Au 3.75
Tm: 0.0000 0.0000 0.0000  6 Au 2.68
Sn: 0.5000 0.5000 0.5000  6 Au 2.62
Au: 0.2528 0.2528 0.7472  1 Sn 2.62, 1 Tm 2.68
Au: 0.2528 0.7472 0.2528  1 Sn 2.62, 1 Tm 2.68
Au: 0.2528 0.7472 0.7472  1 Sn 2.62, 1 Tm 2.68
Au: 0.7472 0.2528 0.2528  1 Sn 2.62, 1 Tm 2.68
Au: 0.7472 0.2528 0.7472  1 Sn 2.62, 1 Tm 2.68
Au: 0.7472 0.7472 0.2528  1 Sn 2.62, 1 Tm 2.68

VASP calculation (PBE-GGA) on a geometry-optimized Ac2YSn4Au3 structure.

## Properties
As for the crystal system: tetragonal. The total DFT energy (no corrections) is -4.7114 eV/atom.

Cell lengths 4.6870, 4.6870, 12.4642 Å; angles 90.00, 90.00, 90.00 degrees
Last column: nearest neighbours and their distance in Å.
Sites, in units of the cell vectors:
Ac: 0.0000 0.5000 0.2368  4 Au 3.56, 8 Sn 3.61-3.77
Ac: 0.5000 0.0000 0.7632  4 Au 3.56, 8 Sn 3.61-3.77
Y: 0.0000 0.0000 0.5000  4 Sn 2.99, 4 Au 3.31
Sn: 0.0000 0.0000 0.0000  4 Au 2.87
Sn: 0.0000 0.5000 0.6493  3 Au 2.72-2.99, 2 Y 2.99
Sn: 0.5000 0.0000 0.3507  3 Au 2.72-2.99, 2 Y 2.99
Sn: 0.5000 0.5000 0.0000  4 Au 2.87
Au: 0.0000 0.5000 0.8675  5 Sn 2.72-2.87
Au: 0.5000 0.0000 0.1325  5 Sn 2.72-2.87
Au: 0.5000 0.5000 0.5000  4 Sn 2.99, 4 Y 3.31

VASP calculation (PBE-GGA) on a geometry-optimized Ac2Zn3Sn4Au structure.

## Properties
As for the crystal system: tetragonal. The total DFT energy (no corrections) is -3.5882 eV/atom.

Cell lengths 4.8095, 4.8095, 10.9163 Å; angles 90.00, 90.00, 90.00 degrees
Last column: nearest neighbours and their distance in Å.
Sites, in units of the cell vectors:
Ac: 0.0000 0.5000 0.2418  6 Zn 3.57-3.68, 2 Au 3.57, 8 Sn 3.61-3.70
Ac: 0.5000 0.0000 0.7582  6 Zn 3.57-3.68, 2 Au 3.57, 8 Sn 3.61-3.70
Zn: 0.0000 0.0000 0.0000  4 Sn 2.80
Zn: 0.0000 0.5000 0.6293  5 Sn 2.61-2.79
Zn: 0.5000 0.0000 0.3707  5 Sn 2.61-2.79
Sn: 0.0000 0.0000 0.5000  4 Zn 2.79
Sn: 0.0000 0.5000 0.8687  3 Zn 2.61-2.80, 2 Au 2.80
Sn: 0.5000 0.0000 0.1313  3 Zn 2.61-2.80, 2 Au 2.80
Sn: 0.5000 0.5000 0.5000  4 Zn 2.79
Au: 0.5000 0.5000 0.0000  4 Sn 2.80

VASP calculation (PBE-GGA) on a geometry-optimized Ac2ZnSn4Au3 structure.

## Properties
As for the crystal system: tetragonal. The total DFT energy (no corrections) is -4.1275 eV/atom.

Cell lengths 4.7498, 4.7498, 11.3735 Å; angles 90.00, 90.00, 90.00 degrees
Last column: nearest neighbours and their distance in Å.
Sites, in units of the cell vectors:
Ac: 0.0000 0.5000 0.2373  8 Sn 3.59-3.82, 2 Zn 3.59, 6 Au 3.59-3.65
Ac: 0.5000 0.0000 0.7627  8 Sn 3.59-3.82, 2 Zn 3.59, 6 Au 3.59-3.65
Zn: 0.5000 0.5000 0.0000  4 Sn 2.78
Sn: 0.0000 0.0000 0.5000  4 Au 2.84
Sn: 0.0000 0.5000 0.8737  3 Au 2.69-2.78, 2 Zn 2.78
Sn: 0.5000 0.0000 0.1263  3 Au 2.69-2.78, 2 Zn 2.78
Sn: 0.5000 0.5000 0.5000  4 Au 2.84
Au: 0.0000 0.0000 0.0000  4 Sn 2.78
Au: 0.0000 0.5000 0.6376  5 Sn 2.69-2.84
Au: 0.5000 0.0000 0.3624  5 Sn 2.69-2.84

VASP calculation (PBE-GGA) on a geometry-optimized AcZn2SnAu5 structure.

## Properties
As for the crystal system: tetragonal. The total DFT energy (no corrections) is -3.3093 eV/atom.

Cell lengths 5.0537, 5.0537, 7.7207 Å; angles 90.00, 90.00, 90.00 degrees
Last column: nearest neighbours and their distance in Å.
Sites, in units of the cell vectors:
Ac: 0.0000 0.0000 0.0000  12 Au 3.29-3.57
Zn: 0.5000 0.5000 0.3390  1 Zn 2.49, 5 Au 2.58-2.62
Zn: 0.5000 0.5000 0.6610  1 Zn 2.49, 5 Au 2.58-2.62
Sn: 0.0000 0.0000 0.5000  8 Au 3.08
Au: 0.0000 0.5000 0.2720  2 Zn 2.58
Au: 0.0000 0.5000 0.7280  2 Zn 2.58
Au: 0.5000 0.0000 0.2720  2 Zn 2.58
Au: 0.5000 0.0000 0.7280  2 Zn 2.58
Au: 0.5000 0.5000 0.0000  2 Zn 2.62

VASP calculation (PBE-GGA) on a geometry-optimized Ac2ZnSn3Au4 structure.

## Properties
As for the crystal system: tetragonal. The total DFT energy (no corrections) is -4.0845 eV/atom.

Cell lengths 4.7015, 4.7015, 11.2527 Å; angles 90.00, 90.00, 90.00 degrees
Last column: nearest neighbours and their distance in Å.
Sites, in units of the cell vectors:
Ac: 0.0000 0.5000 0.2453  6 Sn 3.55-3.71, 8 Au 3.63, 2 Zn 3.71
Ac: 0.5000 0.0000 0.7547  6 Sn 3.55-3.71, 8 Au 3.63, 2 Zn 3.71
Zn: 0.0000 0.0000 0.5000  4 Au 2.74
Sn: 0.0000 0.5000 0.8660  5 Au 2.71-2.79
Sn: 0.5000 0.0000 0.1340  5 Au 2.71-2.79
Sn: 0.5000 0.5000 0.5000  4 Au 2.74
Au: 0.0000 0.0000 0.0000  4 Sn 2.79
Au: 0.0000 0.5000 0.6256  3 Sn 2.71-2.74, 2 Zn 2.74
Au: 0.5000 0.0000 0.3744  3 Sn 2.71-2.74, 2 Zn 2.74
Au: 0.5000 0.5000 0.0000  4 Sn 2.79

Number 1: E_form -0.447 eV/atom. Number 2: E_form -0.624 eV/atom. Number 3: E_form -0.265 eV/atom. Number 4: E_form -0.659 eV/atom. Number 5: E_form -0.455 eV/atom. Number 6: E_form -0.594 eV/atom. Number 7: E_form -0.304 eV/atom. Number 8: E_form -0.624 eV/atom.